Density functional theory data (PBE-GGA) for a geometry-optimized NaPmSnI6 structure.

Results
The value obtained for the density of states at the Fermi level is 0.00 states/eV per atom. The calculation puts the uncorrected formation energy at -1045.6 meV per atom. The mass density is 4.32 g cm⁻³. As for the total energy: -3.198 eV/atom.

a = 7.5476 Å, b = 7.5476 Å, c = 14.1389 Å
α = 90.00°, β = 90.00°, γ = 90.00°
Closest atoms and distances in Å follow each position.
Space group P4_2nm (No. 102)
Unique sites:
Na  0.0000  0.0000  0.0000 x2  6 I 3.22-3.26
Pm  0.0000  0.0000  0.6666 x2  6 I 3.11-3.14
Sn  0.0000  0.0000  0.3329 x2  6 I 3.17-3.23
I  0.1942  0.1942  0.5028 x4  1 Pm 3.11, 1 Sn 3.17, 1 Na 3.26
I  0.1982  0.1982  0.8286 x4  1 Pm 3.12, 1 Na 3.22, 1 Sn 3.22
I  0.2062  0.2062  0.1662 x4  1 Pm 3.14, 1 Na 3.22, 1 Sn 3.23



Density functional theory data (PBE-GGA) for a geometry-optimized NaPmSn2I8 structure.

Results
The value obtained for the density of states at the Fermi level is 0.00 states/eV per atom. The calculation puts the uncorrected formation energy at -898.9 meV per atom. The mass density is 4.47 g cm⁻³. As for the total energy: -3.105 eV/atom.

a = 7.2792 Å, b = 9.3141 Å, c = 7.7778 Å
α = 90.00°, β = 91.09°, γ = 90.00°
Closest atoms and distances in Å follow each position.
Space group P2/m (No. 10)
Unique sites:
Na  0.0000  0.0000  0.0000 x1  6 I 3.20-3.35
Pm  0.0000  0.5000  0.0000 x1  6 I 3.12-3.13
Sn  0.5000  0.2437  0.5000 x2  6 I 3.09-3.33
I  0.2396  0.5000  0.6694 x2  1 Pm 3.13, 2 Sn 3.33
I  0.2450  0.2561  0.1549 x4  1 Pm 3.12, 1 Na 3.20, 1 Sn 3.24
I  0.2634  0.0000  0.6511 x2  2 Sn 3.09, 1 Na 3.35



Density functional theory data (PBE-GGA) for a geometry-optimized NaSrPmI6 structure.

Results
The value obtained for the density of states at the Fermi level is 0.00 states/eV per atom. The calculation puts the uncorrected formation energy at -1449.5 meV per atom. The mass density is 4.04 g cm⁻³. As for the total energy: -3.344 eV/atom.

a = 7.6411 Å, b = 7.6411 Å, c = 14.3367 Å
α = 90.00°, β = 90.00°, γ = 90.00°
Closest atoms and distances in Å follow each position.
Space group P4_2nm (No. 102)
Unique sites:
Na  0.0000  0.0000  0.0000 x2  6 I 3.24-3.28
Sr  0.0000  0.0000  0.3318 x2  6 I 3.30-3.31
Pm  0.0000  0.0000  0.6662 x2  6 I 3.11-3.14
I  0.1933  0.1933  0.8276 x4  1 Pm 3.12, 1 Na 3.24, 1 Sr 3.31
I  0.1966  0.1966  0.5079 x4  1 Pm 3.11, 1 Na 3.28, 1 Sr 3.30
I  0.2096  0.2096  0.1637 x4  1 Pm 3.14, 1 Na 3.26, 1 Sr 3.31



Density functional theory data (PBE-GGA) for a geometry-optimized Na2PmTlI6 structure.

Results
The value obtained for the density of states at the Fermi level is 0.00 states/eV per atom. The calculation puts the uncorrected formation energy at -1191.1 meV per atom. The mass density is 4.39 g cm⁻³. As for the total energy: -3.097 eV/atom.

a = 8.1970 Å, b = 8.1970 Å, c = 22.5425 Å
α = 90.00°, β = 90.00°, γ = 120.00°
Closest atoms and distances in Å follow each position.
Space group R3 (No. 146, hexagonal axes)
Unique sites:
Na  0.0000  0.0000  0.0000 x3  6 I 3.22-3.30
Na  0.0000  0.0000  0.4882 x3  6 I 3.26-3.33
Pm  0.0000  0.0000  0.6768 x3  6 I 3.12-3.13
Tl  0.0000  0.0000  0.1895 x3  6 I 3.45-3.63
I  0.0053  0.3482  0.4163 x9  1 Pm 3.12, 2 Na 3.26-3.30
I  0.0206  0.6319  0.2559 x9  1 Pm 3.13, 2 Na 3.22-3.33, 1 Tl 3.45



Density functional theory data (PBE-GGA) for a geometry-optimized Na5Pr3I12 structure.

Results
The value obtained for the density of states at the Fermi level is 0.59 states/eV per atom. The calculation puts the uncorrected formation energy at -1140.9 meV per atom. The mass density is 4.22 g cm⁻³. As for the total energy: -3.118 eV/atom.

a = 18.6453 Å, b = 18.6453 Å, c = 18.6453 Å
α = 90.00°, β = 90.00°, γ = 90.00°
Closest atoms and distances in Å follow each position.
Space group Ia-3d (No. 230)
Unique sites:
Na  0.0000  0.0000  0.0000 x16  6 I 3.17
Na  0.0000  0.2500  0.3750 x24  4 I 2.95
Pr  0.0000  0.2500  0.1250 x24  8 I 3.41-3.53
I  0.0217  0.0704  0.6534 x96  2 Na 2.95-3.17



Density functional theory data (PBE-GGA) for a geometry-optimized Na5PrI8 structure.

Results
The value obtained for the density of states at the Fermi level is 0.00 states/eV per atom. The calculation puts the uncorrected formation energy at -1261.5 meV per atom. The mass density is 4.07 g cm⁻³. As for the total energy: -2.960 eV/atom.

a = 14.8354 Å, b = 9.4279 Å, c = 10.4907 Å
α = 90.00°, β = 134.99°, γ = 90.00°
Closest atoms and distances in Å follow each position.
Space group C2 (No. 5)
Unique sites:
Na  0.0000  0.0000  0.0000 x2  4 I 3.25
Na  0.1935  0.6464  0.4531 x4  6 I 3.10-3.42
Na  0.2402  0.8526  0.9338 x4  6 I 3.10-3.42
Pr  0.0000  0.2492  0.5000 x2  4 I 3.18
I  0.0433  0.9437  0.3462 x4  4 Na 3.10-3.42
I  0.0485  0.3481  0.2625 x4  1 Pr 3.18, 3 Na 3.23-3.32
I  0.1970  0.5551  0.7405 x4  4 Na 3.10-3.42
I  0.2139  0.6505  0.1653 x4  1 Pr 3.18, 3 Na 3.23-3.32